Computed, not measured: an optimized crystal structure of YHfInFe at the GGA-PBE level of DFT.

The value obtained for the energy above the most stable polymorph in this dataset is 0 meV per atom. The value obtained for the total energy is -6.71 eV per atom. The magnetic moment is 0.0 μB/cell.

The space group is F-43m (No. 216) and the conventional cell measures 6.777, 6.777 and 6.777 Å, with angles of 90.00, 90.00 and 90.00 degrees. The inequivalent atoms are Y at (0.000, 0.000, 0.000), Hf at (0.250, 0.250, 0.750), In at (0.250, 0.250, 0.250) and Fe at (0.000, 0.000, 0.500).